(1)
Density functional theory data (PBE-GGA) for a relaxed structure of Li4PrCu2.

Unit cell a=3.976 b=3.972 c=8.730 alpha=103.15 beta=90.00 gamma=90.00
Atoms (fractional coordinates):
Li1 0.500 0.820 0.640
Li2 0.000 0.678 0.356
Li3 0.500 0.180 0.360
Li4 0.000 0.322 0.644
Pr1 0.000 0.000 0.000
Cu1 0.500 0.574 0.149
Cu2 0.500 0.426 0.851

Values from the calculation:
**Formation enthalpy at 0 K**: -0.06 eV/atom
**SG**: Cmmm, No. 65
**Calculated volume**: 19.2 Å³/atom


(2)
Density functional theory data (PBE-GGA) for a relaxed structure of Li2PrCu.

Unit cell a=3.131 b=3.131 c=10.420 alpha=81.36 beta=81.36 gamma=60.00
Each line ends with the local moment (μB).
Atoms (fractional coordinates):
Pr1 0.000 0.000 0.000  0.13
Cu1 0.500 0.500 0.500  0.00
Li1 0.103 0.103 0.690  0.00
Li2 0.897 0.897 0.310  0.00

Values from the calculation:
**Formation enthalpy at 0 K**: 0.29 eV/atom
**SG**: R-3m, No. 166
**Offset from the most stable computed form**: 180 meV per atom
**Calculated volume**: 21.8 Å³/atom


(3)
Density functional theory data (PBE-GGA) for a relaxed structure of LiPrCu.

Unit cell a=3.631 b=8.277 c=4.919 alpha=107.22 beta=90.00 gamma=102.67
Atoms (fractional coordinates):
Pr1 0.180 0.359 0.180
Pr2 0.820 0.641 0.820
Li1 0.590 0.179 0.590
Li2 0.410 0.821 0.410
Cu1 0.000 0.000 0.247
Cu2 0.000 0.000 0.753

Values from the calculation:
**Formation enthalpy at 0 K**: 0.13 eV/atom
**SG**: C2/m, No. 12
**Offset from the most stable computed form**: 193 meV per atom
**Calculated volume**: 22.9 Å³/atom


(4)
Density functional theory data (PBE-GGA) for a relaxed structure of LiPrCu.

Unit cell a=3.576 b=3.576 c=5.597 alpha=108.63 beta=108.63 gamma=90.00
Atoms (fractional coordinates):
Pr1 0.960 0.960 0.921
Cu1 0.638 0.638 0.276
Li1 0.252 0.252 0.503

Values from the calculation:
**Formation enthalpy at 0 K**: 0.02 eV/atom
**SG**: I4mm, No. 107
**Offset from the most stable computed form**: 78 meV per atom
**Calculated volume**: 21.3 Å³/atom


(5)
Density functional theory data (PBE-GGA) for a relaxed structure of LiPr2CuRh2.

Unit cell a=5.763 b=5.749 c=8.371 alpha=110.07 beta=110.13 gamma=90.00
Atoms (fractional coordinates):
Li1 0.000 0.750 0.000
Li2 0.000 0.250 0.000
Pr1 0.421 0.166 0.331
Pr2 0.579 0.834 0.669
Pr3 0.090 0.334 0.669
Pr4 0.910 0.666 0.331
Cu1 0.500 0.750 0.000
Cu2 0.500 0.250 0.000
Rh1 0.872 0.122 0.244
Rh2 0.372 0.622 0.244
Rh3 0.628 0.378 0.756
Rh4 0.128 0.878 0.756

Values from the calculation:
**Formation enthalpy at 0 K**: -0.44 eV/atom
**SG**: Ibam, No. 72
**Calculated volume**: 20.2 Å³/atom


(6)
Density functional theory data (PBE-GGA) for a relaxed structure of LiPrScCu.

Unit cell a=4.992 b=4.992 c=4.992 alpha=60.00 beta=60.00 gamma=60.00
Atoms (fractional coordinates):
Pr1 0.000 0.000 0.000
Sc1 0.500 0.500 0.500
Cu1 0.250 0.250 0.250
Li1 0.750 0.750 0.750

Values from the calculation:
**Formation enthalpy at 0 K**: 0.02 eV/atom
**SG**: F-43m, No. 216
**Calculated volume**: 22.0 Å³/atom


(7)
Density functional theory data (PBE-GGA) for a relaxed structure of LiPrCu2Si2.

Unit cell a=4.110 b=4.110 c=6.839 alpha=90.00 beta=90.00 gamma=120.00
Atoms (fractional coordinates):
Li1 0.000 0.000 0.500
Pr1 0.000 0.000 0.000
Cu1 0.333 0.667 0.659
Cu2 0.667 0.333 0.341
Si1 0.333 0.667 0.293
Si2 0.667 0.333 0.707

Values from the calculation:
**Uncorrected formation energy**: -0.461 eV per atom
**SG**: P-3m1, No. 164
**Calculated volume**: 16.7 Å³/atom


(8)
Density functional theory data (PBE-GGA) for a relaxed structure of LiPrCuSi2.

Unit cell a=4.131 b=4.131 c=5.876 alpha=110.58 beta=110.58 gamma=90.00
Atoms (fractional coordinates):
Li1 0.250 0.750 0.500
Pr1 0.000 0.000 0.000
Cu1 0.750 0.250 0.500
Si1 0.617 0.617 0.234
Si2 0.383 0.383 0.766

Values from the calculation:
**Uncorrected formation energy**: -0.543 eV per atom
**SG**: I-4m2, No. 119
**Calculated volume**: 17.4 Å³/atom